(1)
TaGe2TeIr after structural relaxation. Source: Alexandria via LeMat-Bulk, functional PBE.

Output
M_tot = 0.00 μB per cell
Symmetry = P4/mmm (123)
E_tot = -23.1 eV for the cell shown

a b c (Å): 5.087 5.087 5.077
angles (deg): 90.00 90.00 90.00
Fractional positions:
Ta  0.000  0.000  0.000
Ge  0.000  0.500  0.500
Ge  0.500  0.000  0.500
Te  0.000  0.000  0.500
Ir  0.500  0.500  0.000

---

(2)
Th2TaGe3Ir4 after structural relaxation. Source: Alexandria via LeMat-Bulk, functional PBE.

Output
DFT formation energy = -76 kJ per mole of atoms
M_tot = 0.00 μB per cell
Symmetry = P-4m2 (115)

a b c (Å): 4.250 4.250 10.568
angles (deg): 90.00 90.00 90.00
Fractional positions:
Th  0.000  0.500  0.245
Th  0.500  0.000  0.755
Ta  0.000  0.000  0.500
Ge  0.000  0.500  0.870
Ge  0.500  0.000  0.130
Ge  0.500  0.500  0.500
Ir  0.000  0.000  0.000
Ir  0.000  0.500  0.638
Ir  0.500  0.000  0.362
Ir  0.500  0.500  0.000

---

(3)
Tm2TaGe3Ir4 after structural relaxation. Source: Alexandria via LeMat-Bulk, functional PBE.

Output
DFT formation energy = -71 kJ per mole of atoms
M_tot = 0.00 μB per cell
Symmetry = P-4m2 (115)

a b c (Å): 4.114 4.114 10.806
angles (deg): 90.00 90.00 90.00
Fractional positions:
Tm  0.000  0.500  0.232
Tm  0.500  0.000  0.768
Ta  0.000  0.000  0.500
Ge  0.000  0.500  0.869
Ge  0.500  0.000  0.131
Ge  0.500  0.500  0.500
Ir  0.000  0.000  0.000
Ir  0.000  0.500  0.644
Ir  0.500  0.000  0.356
Ir  0.500  0.500  0.000

---

(4)
Y2TaGe4Ir3 after structural relaxation. Source: Alexandria via LeMat-Bulk, functional PBE.

Output
DFT formation energy = -63 kJ per mole of atoms
M_tot = 0.00 μB per cell
Symmetry = P-4m2 (115)

a b c (Å): 4.123 4.123 10.987
angles (deg): 90.00 90.00 90.00
Fractional positions:
Y  0.000  0.500  0.246
Y  0.500  0.000  0.754
Ta  0.000  0.000  0.500
Ge  0.000  0.000  0.000
Ge  0.000  0.500  0.649
Ge  0.500  0.000  0.351
Ge  0.500  0.500  0.000
Ir  0.000  0.500  0.873
Ir  0.500  0.000  0.127
Ir  0.500  0.500  0.500

---

(5)
TbGe4Ir4 after structural relaxation. Source: Alexandria via LeMat-Bulk, functional PBE.

Output
DFT formation energy = -31 kJ per mole of atoms
M_tot = 0.00 μB per cell
Symmetry = I4/m (87)

a b c (Å): 6.471 6.471 6.471
angles (deg): 95.90 95.90 142.61
Fractional positions:
Tb  0.000  0.000  0.000
Ge  0.279  0.361  0.640
Ge  0.361  0.721  0.082
Ge  0.639  0.279  0.918
Ge  0.721  0.639  0.360
Ir  0.069  0.637  0.706
Ir  0.363  0.069  0.431
Ir  0.637  0.931  0.569
Ir  0.931  0.363  0.294

---

(6)
Tb3Ge3Ir2 after structural relaxation. Source: Alexandria via LeMat-Bulk, functional PBE.

Output
DFT formation energy = -85 kJ per mole of atoms
M_tot = 0.00 μB per cell
Symmetry = Pnma (62)

a b c (Å): 8.140 14.297 5.710
angles (deg): 90.00 90.00 90.00
Fractional positions:
Tb  0.042  0.113  0.120
Tb  0.042  0.387  0.120
Tb  0.189  0.250  0.634
Tb  0.311  0.750  0.134
Tb  0.458  0.613  0.620
Tb  0.458  0.887  0.620
Tb  0.542  0.113  0.380
Tb  0.542  0.387  0.380
Tb  0.689  0.250  0.866
Tb  0.811  0.750  0.366
Tb  0.958  0.613  0.880
Tb  0.958  0.887  0.880
Ge  0.165  0.750  0.611
Ge  0.199  0.038  0.627
Ge  0.199  0.462  0.627
Ge  0.301  0.538  0.127
Ge  0.301  0.962  0.127
Ge  0.335  0.250  0.111
Ge  0.665  0.750  0.889
Ge  0.699  0.038  0.873
Ge  0.699  0.462  0.873
Ge  0.801  0.538  0.373
Ge  0.801  0.962  0.373
Ge  0.835  0.250  0.389
Ir  0.080  0.599  0.383
Ir  0.080  0.901  0.383
Ir  0.420  0.099  0.883
Ir  0.420  0.401  0.883
Ir  0.580  0.599  0.117
Ir  0.580  0.901  0.117
Ir  0.920  0.099  0.617
Ir  0.920  0.401  0.617